No. 1
Entry from the Alexandria database: crystalline Te2PtAu at its relaxed geometry (PBE).

Results
Its uncorrected formation energy is -0.0821 eV/atom. The density of states at the Fermi level is 1.88 states/eV per cell.

abc: 5.351 5.351 5.716
angles: 73.85 73.85 44.71
Element x y z (fractional)
Au 0.391 0.391 0.754
Pt 0.685 0.685 0.568
Te 0.101 0.101 0.877
Te 0.322 0.322 0.300

---

No. 2
Entry from the Alexandria database: crystalline Tb2HgPd at its relaxed geometry (PBE).

Results
The calculation puts the energy above the most stable polymorph in this dataset at 136.7 meV per atom. The energy relative to the elements is -2.2 eV/f.u. The density of states at the Fermi level is 4.05 states/eV per cell.

abc: 4.064 4.064 7.931
angles: 75.16 75.16 60.00
Element x y z (fractional)
Tb 0.071 0.071 0.786
Tb 0.262 0.262 0.213
Hg 0.501 0.501 0.498
Pd 0.666 0.666 0.003

---

No. 3
Entry from the Alexandria database: crystalline Sr2AcSb3Rh4 at its relaxed geometry (PBE).

Results
Its uncorrected formation energy is -0.7051 eV/atom. The density of states at the Fermi level is 7.12 states/eV per cell.

abc: 4.689 4.689 11.093
angles: 90.00 90.00 90.00
Element x y z (fractional)
Sr 0.500 0.000 0.223
Sr 0.000 0.500 0.777
Ac 0.500 0.500 0.500
Sb 0.000 0.000 0.500
Sb 0.500 0.000 0.882
Sb 0.000 0.500 0.118
Rh 0.500 0.500 0.000
Rh 0.000 0.000 0.000
Rh 0.500 0.000 0.648
Rh 0.000 0.500 0.352

---

No. 4
Entry from the Alexandria database: crystalline AcMgIrO6 at its relaxed geometry (PBE).

Results
Its uncorrected formation energy is -1.6985 eV/atom. The density of states at the Fermi level is 11.07 states/eV per cell.

abc: 5.767 5.767 8.012
angles: 90.00 90.00 120.00
Element x y z (fractional)
Ac 0.333 0.667 0.250
Ac 0.667 0.333 0.750
Mg 0.000 0.000 0.000
Mg 0.000 0.000 0.500
Ir 0.667 0.333 0.250
Ir 0.333 0.667 0.750
O 0.704 0.626 0.113
O 0.921 0.296 0.113
O 0.296 0.921 0.613
O 0.079 0.704 0.887
O 0.374 0.296 0.387
O 0.921 0.626 0.387
O 0.626 0.921 0.887
O 0.704 0.079 0.387
O 0.079 0.374 0.613
O 0.374 0.079 0.113
O 0.626 0.704 0.613
O 0.296 0.374 0.887

---

No. 5
Entry from the Alexandria database: crystalline CaSi4As at its relaxed geometry (PBE).

Results
Its uncorrected formation energy is 0.1185 eV/atom. The density of states at the Fermi level is 3.75 states/eV per cell.

abc: 5.274 5.274 5.274
angles: 60.00 60.00 60.00
Element x y z (fractional)
Ca 0.000 0.000 0.000
Si 0.873 0.376 0.376
Si 0.376 0.376 0.873
Si 0.376 0.873 0.376
Si 0.376 0.376 0.376
As 0.750 0.750 0.750

---

No. 6
Entry from the Alexandria database: crystalline MgZr2Fe at its relaxed geometry (PBE).

Results
The energy relative to the elements is -0.1 eV/f.u. The density of states at the Fermi level is 3.85 states/eV per cell.

abc: 3.234 3.243 8.082
angles: 66.33 90.00 90.00
Element x y z (fractional)
Fe 0.500 0.250 0.250
Mg 0.500 0.750 0.750
Zr 0.000 0.958 0.042
Zr 0.000 0.542 0.458

---

What did the fourth record say?
Entry from the Alexandria database: crystalline AcMgIrO6 at its relaxed geometry (PBE).

Results
Its uncorrected formation energy is -1.6985 eV/atom. The density of states at the Fermi level is 11.07 states/eV per cell.

abc: 5.767 5.767 8.012
angles: 90.00 90.00 120.00
Element x y z (fractional)
Ac 0.333 0.667 0.250
Ac 0.667 0.333 0.750
Mg 0.000 0.000 0.000
Mg 0.000 0.000 0.500
Ir 0.667 0.333 0.250
Ir 0.333 0.667 0.750
O 0.704 0.626 0.113
O 0.921 0.296 0.113
O 0.296 0.921 0.613
O 0.079 0.704 0.887
O 0.374 0.296 0.387
O 0.921 0.626 0.387
O 0.626 0.921 0.887
O 0.704 0.079 0.387
O 0.079 0.374 0.613
O 0.374 0.079 0.113
O 0.626 0.704 0.613
O 0.296 0.374 0.887